[1]
Density functional theory data (PBE) for a relaxed LaMnH8Ir2 crystal.

Uncorrected energy (eV for the cell shown): -61.09
Size of the total moment (μB/cell): 3.6
Volume (Å³/cell): 102.9
SG: R-3m, No. 166

a = 4.702 Å, b = 4.702 Å, c = 6.021 Å
α = 67.02°, β = 67.02°, γ = 60.00°
Sites, in units of the cell vectors:
La 0.500 0.500 0.500
Mn 0.000 0.000 0.000
H 0.185 0.185 0.446
H 0.629 0.057 0.257
H 0.815 0.815 0.554
H 0.056 0.629 0.257
H 0.944 0.371 0.743
H 0.057 0.056 0.257
H 0.943 0.944 0.743
H 0.371 0.943 0.743
Ir 0.287 0.287 0.138
Ir 0.713 0.713 0.862

***

[2]
Density functional theory data (PBE) for a relaxed LaH2IrN crystal.

Uncorrected energy (eV for the cell shown): -31.62
Size of the total moment (μB/cell): 0.0
Volume (Å³/cell): 57.1
SG: P4/mmm, No. 123

a = 3.714 Å, b = 3.714 Å, c = 4.137 Å
α = 90.00°, β = 90.00°, γ = 90.00°
Sites, in units of the cell vectors:
H 0.000 0.500 0.000
H 0.500 0.000 0.000
N 0.000 0.000 0.500
Ir 0.000 0.000 0.000
La 0.500 0.500 0.500

***

[3]
Density functional theory data (PBE) for a relaxed NaLaH6Ir crystal.

Uncorrected energy (eV for the cell shown): -39.21
Size of the total moment (μB/cell): 0.0
Volume (Å³/cell): 95.0
SG: P3m1, No. 156

a = 4.950 Å, b = 4.950 Å, c = 4.478 Å
α = 89.99°, β = 90.00°, γ = 60.00°
Sites, in units of the cell vectors:
Na 0.667 0.667 0.328
La 0.000 0.000 0.846
H 0.167 0.167 0.329
H 0.496 0.008 0.766
H 0.496 0.496 0.766
H 0.008 0.496 0.766
H 0.167 0.666 0.329
H 0.666 0.167 0.329
Ir 0.333 0.333 0.540

***

[4]
Density functional theory data (PBE) for a relaxed La2NiHIr crystal.

Uncorrected energy (eV for the cell shown): -29.96
Size of the total moment (μB/cell): 0.0
Volume (Å³/cell): 96.6
SG: P4/mmm, No. 123

a = 5.166 Å, b = 5.166 Å, c = 3.621 Å
α = 90.00°, β = 90.00°, γ = 90.00°
Sites, in units of the cell vectors:
Ni 0.500 0.500 0.500
Ir 0.000 0.000 0.500
H 0.000 0.000 0.000
La 0.000 0.500 0.000
La 0.500 0.000 0.000

***

[5]
Density functional theory data (PBE) for a relaxed LaNiH8Ir2 crystal.

Uncorrected energy (eV for the cell shown): -57.86
Size of the total moment (μB/cell): 0.0
Volume (Å³/cell): 103.2
SG: R-3, No. 148

a = 4.733 Å, b = 4.733 Å, c = 5.981 Å
α = 66.69°, β = 66.69°, γ = 60.00°
Sites, in units of the cell vectors:
La 0.500 0.500 0.500
Ni 0.000 0.000 0.000
H 0.185 0.185 0.444
H 0.644 0.063 0.233
H 0.815 0.815 0.556
H 0.061 0.644 0.233
H 0.939 0.356 0.767
H 0.063 0.061 0.233
H 0.937 0.939 0.767
H 0.356 0.937 0.767
Ir 0.287 0.287 0.139
Ir 0.713 0.713 0.861

***

[6]
Density functional theory data (PBE) for a relaxed LaNi2H8Ir crystal.

Uncorrected energy (eV for the cell shown): -54.77
Size of the total moment (μB/cell): 0.0
Volume (Å³/cell): 102.1
SG: R-3, No. 148

a = 4.590 Å, b = 4.590 Å, c = 6.191 Å
α = 68.24°, β = 68.24°, γ = 60.00°
Sites, in units of the cell vectors:
La 0.500 0.500 0.500
Ni 0.283 0.283 0.151
Ni 0.717 0.717 0.849
H 0.190 0.190 0.430
H 0.639 0.281 0.157
H 0.810 0.810 0.570
H 0.923 0.639 0.157
H 0.077 0.361 0.843
H 0.281 0.923 0.157
H 0.719 0.077 0.843
H 0.361 0.719 0.843
Ir 0.000 0.000 0.000

***

[7]
Density functional theory data (PBE) for a relaxed LaNiH6Ir crystal.

Uncorrected energy (eV for the cell shown): -42.99
Size of the total moment (μB/cell): 0.3
Volume (Å³/cell): 82.7
SG: P-6m2, No. 187

a = 4.698 Å, b = 4.698 Å, c = 4.328 Å
α = 90.00°, β = 90.00°, γ = 60.00°
Sites, in units of the cell vectors:
La 0.000 0.000 0.000
Ni 0.667 0.667 0.500
H 0.998 0.501 0.252
H 0.501 0.998 0.748
H 0.501 0.501 0.748
H 0.998 0.501 0.748
H 0.501 0.501 0.252
H 0.501 0.998 0.252
Ir 0.333 0.333 0.500

***

[8]
Density functional theory data (PBE) for a relaxed La2NiHIr crystal.

Uncorrected energy (eV for the cell shown): -61.18
Size of the total moment (μB/cell): 0.0
Volume (Å³/cell): 200.4
SG: P2_1/m, No. 11

a = 4.087 Å, b = 6.532 Å, c = 7.872 Å
α = 107.50°, β = 90.00°, γ = 90.00°
Sites, in units of the cell vectors:
La 0.750 0.775 0.568
La 0.750 0.749 0.057
La 0.250 0.225 0.432
La 0.250 0.251 0.943
Ni 0.250 0.610 0.772
Ni 0.750 0.390 0.228
H 0.250 0.860 0.866
H 0.750 0.140 0.134
Ir 0.250 0.680 0.294
Ir 0.750 0.320 0.706

***

[9]
Density functional theory data (PBE) for a relaxed La2NiHIr crystal.

Uncorrected energy (eV for the cell shown): -30.27
Size of the total moment (μB/cell): 0.0
Volume (Å³/cell): 93.4
SG: P4/mmm, No. 123

a = 5.102 Å, b = 5.102 Å, c = 3.588 Å
α = 90.00°, β = 90.00°, γ = 90.00°
Sites, in units of the cell vectors:
Ni 0.000 0.000 0.500
Ir 0.500 0.500 0.500
H 0.000 0.000 0.000
La 0.000 0.500 0.000
La 0.500 0.000 0.000

***

[10]
Density functional theory data (PBE) for a relaxed La2H2IrO6 crystal.

Uncorrected energy (eV for the cell shown): -74.72
Size of the total moment (μB/cell): 1.0
Volume (Å³/cell): 117.5
SG: R-3m, No. 166

a = 5.156 Å, b = 5.156 Å, c = 5.910 Å
α = 64.14°, β = 64.14°, γ = 60.00°
Sites, in units of the cell vectors:
La 0.770 0.770 0.689
La 0.230 0.230 0.311
H 0.417 0.417 0.750
H 0.583 0.583 0.250
Ir 0.000 0.000 0.000
O 0.742 0.742 0.261
O 0.254 0.742 0.261
O 0.742 0.254 0.261
O 0.258 0.746 0.739
O 0.746 0.258 0.739
O 0.258 0.258 0.739

***

[11]
Density functional theory data (PBE) for a relaxed La2HIrO6 crystal.

Uncorrected energy (eV for the cell shown): -69.94
Size of the total moment (μB/cell): 2.0
Volume (Å³/cell): 120.3
SG: C2/m, No. 12

a = 5.462 Å, b = 5.278 Å, c = 5.701 Å
α = 117.58°, β = 119.98°, γ = 90.00°
Sites, in units of the cell vectors:
La 0.243 0.257 0.514
La 0.757 0.743 0.486
H 0.500 0.000 0.000
Ir 0.000 0.500 0.000
O 0.316 0.734 0.467
O 0.207 0.195 0.903
O 0.793 0.292 0.097
O 0.207 0.708 0.903
O 0.793 0.805 0.097
O 0.684 0.266 0.533

***

[12]
Density functional theory data (PBE) for a relaxed LaPH2Ir crystal.

Uncorrected energy (eV for the cell shown): -26.75
Size of the total moment (μB/cell): 0.0
Volume (Å³/cell): 75.1
SG: P4/mmm, No. 123

a = 4.029 Å, b = 4.625 Å, c = 4.029 Å
α = 90.00°, β = 90.00°, γ = 90.00°
Sites, in units of the cell vectors:
P 0.000 0.000 0.000
Ir 0.000 0.500 0.000
H 0.000 0.000 0.500
H 0.500 0.000 0.000
La 0.500 0.500 0.500

***

[13]
Density functional theory data (PBE) for a relaxed LaPH2Ir crystal.

Uncorrected energy (eV for the cell shown): -58.26
Size of the total moment (μB/cell): 0.0
Volume (Å³/cell): 135.1
SG: Cmcm, No. 63

a = 3.838 Å, b = 5.497 Å, c = 6.834 Å
α = 90.00°, β = 90.00°, γ = 110.43°
Sites, in units of the cell vectors:
La 0.722 0.445 0.750
La 0.278 0.555 0.250
P 0.447 0.894 0.750
P 0.553 0.106 0.250
H 0.161 0.322 0.944
H 0.839 0.678 0.056
H 0.161 0.322 0.556
H 0.839 0.678 0.444
Ir 0.000 0.000 0.000
Ir 0.000 0.000 0.500

***

[14]
Density functional theory data (PBE) for a relaxed La2PHIr crystal.

Uncorrected energy (eV for the cell shown): -28.51
Size of the total moment (μB/cell): 0.0
Volume (Å³/cell): 141.2
SG: P4/mmm, No. 123

a = 5.630 Å, b = 4.455 Å, c = 5.630 Å
α = 90.00°, β = 90.00°, γ = 90.00°
Sites, in units of the cell vectors:
P 0.000 0.500 0.000
Ir 0.000 0.000 0.000
H 0.500 0.500 0.500
La 0.000 0.000 0.500
La 0.500 0.000 0.000

***

[15]
Density functional theory data (PBE) for a relaxed LaH6IrPd crystal.

Uncorrected energy (eV for the cell shown): -42.30
Size of the total moment (μB/cell): 0.0
Volume (Å³/cell): 88.8
SG: P-6m2, No. 187

a = 4.894 Å, b = 4.894 Å, c = 4.280 Å
α = 90.00°, β = 90.00°, γ = 60.00°
Sites, in units of the cell vectors:
La 0.000 0.000 0.000
H 0.026 0.486 0.238
H 0.486 0.026 0.762
H 0.487 0.486 0.762
H 0.026 0.487 0.762
H 0.486 0.487 0.238
H 0.487 0.026 0.238
Ir 0.333 0.333 0.500
Pd 0.667 0.667 0.500

***

[16]
Density functional theory data (PBE) for a relaxed LaH4IrPd2 crystal.

Uncorrected energy (eV for the cell shown): -40.40
Size of the total moment (μB/cell): 0.0
Volume (Å³/cell): 90.6
SG: P1, No. 1

a = 5.400 Å, b = 5.417 Å, c = 4.620 Å
α = 116.96°, β = 116.76°, γ = 102.99°
Sites, in units of the cell vectors:
La 0.980 0.478 0.957
H 0.515 0.616 0.615
H 0.838 0.441 0.370
H 0.532 0.930 0.373
H 0.094 0.995 0.606
Ir 0.720 0.720 0.441
Pd 0.477 0.978 0.955
Pd 0.231 0.229 0.457

***

[17]
Density functional theory data (PBE) for a relaxed La2HIrPd crystal.

Uncorrected energy (eV for the cell shown): -30.50
Size of the total moment (μB/cell): 0.0
Volume (Å³/cell): 99.8
SG: P4/mmm, No. 123

a = 5.227 Å, b = 5.227 Å, c = 3.653 Å
α = 90.00°, β = 90.00°, γ = 90.00°
Sites, in units of the cell vectors:
H 0.000 0.000 0.000
Ir 0.000 0.000 0.500
Pd 0.500 0.500 0.500
La 0.000 0.500 0.000
La 0.500 0.000 0.000

***

[18]
Density functional theory data (PBE) for a relaxed La2HIrPd crystal.

Uncorrected energy (eV for the cell shown): -30.40
Size of the total moment (μB/cell): 0.0
Volume (Å³/cell): 98.7
SG: P4/mmm, No. 123

a = 5.133 Å, b = 5.133 Å, c = 3.746 Å
α = 90.00°, β = 90.00°, γ = 90.00°
Sites, in units of the cell vectors:
H 0.000 0.000 0.000
Ir 0.500 0.500 0.500
Pd 0.000 0.000 0.500
La 0.000 0.500 0.000
La 0.500 0.000 0.000

***

[19]
Density functional theory data (PBE) for a relaxed LaPmH8Ir2 crystal.

Uncorrected energy (eV for the cell shown): -57.74
Size of the total moment (μB/cell): 0.0
Volume (Å³/cell): 131.1
SG: R-3, No. 148

a = 4.891 Å, b = 4.891 Å, c = 6.931 Å
α = 69.34°, β = 69.34°, γ = 60.00°
Sites, in units of the cell vectors:
La 0.500 0.500 0.500
Pm 0.000 0.000 0.000
H 0.176 0.176 0.473
H 0.473 0.471 0.166
H 0.824 0.824 0.527
H 0.890 0.473 0.166
H 0.110 0.527 0.834
H 0.471 0.890 0.166
H 0.529 0.110 0.834
H 0.527 0.529 0.834
Ir 0.261 0.261 0.216
Ir 0.739 0.739 0.784

***

[20]
Density functional theory data (PBE) for a relaxed La5HIrPt2 crystal.

Uncorrected energy (eV for the cell shown): -112.52
Size of the total moment (μB/cell): 1.3
Volume (Å³/cell): 468.6
SG: Cmc2_1, No. 36

a = 4.113 Å, b = 9.091 Å, c = 12.866 Å
α = 90.00°, β = 90.00°, γ = 103.07°
Sites, in units of the cell vectors:
La 0.358 0.716 0.021
La 0.695 0.390 0.868
La 0.499 0.998 0.762
La 0.299 0.598 0.680
La 0.959 0.919 0.507
La 0.642 0.284 0.521
La 0.305 0.610 0.368
La 0.501 0.002 0.262
La 0.701 0.402 0.180
La 0.041 0.081 0.007
H 0.561 0.122 0.922
H 0.439 0.878 0.422
Ir 0.802 0.603 0.524
Ir 0.198 0.397 0.024
Pt 0.881 0.763 0.838
Pt 0.120 0.240 0.702
Pt 0.119 0.237 0.338
Pt 0.880 0.760 0.202

***

[21]
Density functional theory data (PBE) for a relaxed LaH8IrPt2 crystal.

Uncorrected energy (eV for the cell shown): -55.61
Size of the total moment (μB/cell): 0.0
Volume (Å³/cell): 119.9
SG: P-1, No. 2

a = 4.523 Å, b = 4.453 Å, c = 7.054 Å
α = 76.22°, β = 60.65°, γ = 79.30°
Sites, in units of the cell vectors:
La 0.000 0.000 0.500
H 0.125 0.790 0.185
H 0.741 0.741 0.022
H 0.606 0.208 0.139
H 0.875 0.210 0.815
H 0.259 0.259 0.978
H 0.394 0.792 0.861
H 0.567 0.744 0.462
H 0.433 0.256 0.538
Ir 0.000 0.000 0.000
Pt 0.378 0.532 0.719
Pt 0.622 0.468 0.281

***

[22]
Density functional theory data (PBE) for a relaxed LaH8Ir2Pt crystal.

Uncorrected energy (eV for the cell shown): -57.70
Size of the total moment (μB/cell): 0.0
Volume (Å³/cell): 112.4
SG: R-3m, No. 166

a = 4.925 Å, b = 4.925 Å, c = 6.060 Å
α = 66.02°, β = 66.02°, γ = 60.00°
Sites, in units of the cell vectors:
La 0.500 0.500 0.500
H 0.182 0.182 0.453
H 0.623 0.064 0.247
H 0.818 0.818 0.547
H 0.065 0.623 0.247
H 0.935 0.377 0.753
H 0.064 0.065 0.247
H 0.936 0.935 0.753
H 0.377 0.936 0.753
Ir 0.283 0.283 0.151
Ir 0.717 0.717 0.849
Pt 0.000 0.000 0.000

***

[23]
Density functional theory data (PBE) for a relaxed LaH4IrPt2 crystal.

Uncorrected energy (eV for the cell shown): -41.70
Size of the total moment (μB/cell): 0.0
Volume (Å³/cell): 92.2
SG: P1, No. 1

a = 4.487 Å, b = 4.727 Å, c = 5.267 Å
α = 110.99°, β = 109.28°, γ = 100.95°
Sites, in units of the cell vectors:
La 0.964 0.461 0.913
H 0.504 0.657 0.664
H 0.914 0.426 0.379
H 0.478 0.968 0.386
H 0.138 0.988 0.657
Ir 0.708 0.710 0.430
Pt 0.490 0.991 0.965
Pt 0.190 0.185 0.380